# 1
! PBE CeErPuGa, optimized geometry; values from VASP
! Final energy   -0.2588 hartree per atom
! Total moment   7.75 μB per cell
! E_form   -0.08 eV/atom
! N(E_F)   2.414 states/eV per atom
&SYSTEM
  ibrav = 0, nat = 4, ntyp = 4
/
ATOMIC_SPECIES
Ce 140.12 Ce.upf
Er 167.26 Er.upf
Ga 69.72 Ga.upf
Pu 244.00 Pu.upf
CELL_PARAMETERS angstrom
5.1317 0.0000 0.0000
2.5658 4.4442 0.0000
2.5658 1.4814 4.1900
ATOMIC_POSITIONS angstrom
Ce 5.1317 2.9628 2.0950
Er 2.5658 1.4814 1.0475
Ga 0.0000 0.0000 0.0000
Pu 7.6975 4.4442 3.1425


# 2
! PBE CeErGaRh, optimized geometry; values from VASP
! Final energy   -0.2136 hartree per atom
! Total moment   0.22 μB per cell
! E_form   -0.59 eV/atom
! N(E_F)   1.305 states/eV per atom
&SYSTEM
  ibrav = 0, nat = 4, ntyp = 4
/
ATOMIC_SPECIES
Ga 69.72 Ga.upf
Ce 140.12 Ce.upf
Er 167.26 Er.upf
Rh 102.91 Rh.upf
CELL_PARAMETERS angstrom
-3.2098 2.2057 -3.1114
-2.4580 -2.7147 -3.3819
-4.8976 -0.7763 0.5090
ATOMIC_POSITIONS angstrom
Ga -2.6413 -0.3213 -1.4961
Ce -5.2827 -0.6426 -2.9921
Er 0.0000 0.0000 0.0000
Rh -7.9240 -0.9640 -4.4882


# 3
! PBE CeErScGa, optimized geometry; values from VASP
! Final energy   -0.1872 hartree per atom
! Total moment   1.12 μB per cell
! E_form   -0.13 eV/atom
! N(E_F)   1.975 states/eV per atom
&SYSTEM
  ibrav = 0, nat = 4, ntyp = 4
/
ATOMIC_SPECIES
Er 167.26 Er.upf
Ga 69.72 Ga.upf
Sc 44.96 Sc.upf
Ce 140.12 Ce.upf
CELL_PARAMETERS angstrom
-2.9767 2.7478 3.2445
-1.0570 -1.8374 4.7377
2.1031 2.2423 4.1818
ATOMIC_POSITIONS angstrom
Er 0.0000 0.0000 0.0000
Ga -0.4827 0.7882 3.0410
Sc -1.4480 2.3646 9.1230
Ce -0.9653 1.5764 6.0820


# 4
! PBE CeErGaSn, optimized geometry; values from VASP
! Final energy   -0.1798 hartree per atom
! Total moment   0.93 μB per cell
! E_form   -0.51 eV/atom
! N(E_F)   1.844 states/eV per atom
&SYSTEM
  ibrav = 0, nat = 4, ntyp = 4
/
ATOMIC_SPECIES
Sn 118.71 Sn.upf
Ga 69.72 Ga.upf
Er 167.26 Er.upf
Ce 140.12 Ce.upf
CELL_PARAMETERS angstrom
5.2482 0.0000 0.0000
2.6241 4.5451 0.0000
2.6241 1.5150 4.2852
ATOMIC_POSITIONS angstrom
Sn 2.6241 1.5150 1.0713
Ga 7.8724 4.5451 3.2139
Er 0.0000 0.0000 0.0000
Ce 5.2482 3.0301 2.1426


# 5
! PBE CeErGaTc, optimized geometry; values from VASP
! Final energy   -0.2286 hartree per atom
! Total moment   0.00 μB per cell
! E_form   -0.25 eV/atom
! N(E_F)   0.699 states/eV per atom
&SYSTEM
  ibrav = 0, nat = 4, ntyp = 4
/
ATOMIC_SPECIES
Ce 140.12 Ce.upf
Er 167.26 Er.upf
Ga 69.72 Ga.upf
Tc 98.00 Tc.upf
CELL_PARAMETERS angstrom
-0.0746 -4.5578 1.9481
2.2691 -0.8878 4.3171
-2.6818 -0.9132 4.0679
ATOMIC_POSITIONS angstrom
Ce 0.0000 0.0000 0.0000
Er -0.2437 -3.1794 5.1665
Ga -0.1219 -1.5897 2.5833
Tc -0.3656 -4.7691 7.7498


# 6
! PBE CeErZn2Ga2, optimized geometry; values from VASP
! Final energy   -0.1355 hartree per atom
! Total moment   0.88 μB per cell
! E_form   -0.50 eV/atom
! N(E_F)   1.273 states/eV per atom
&SYSTEM
  ibrav = 0, nat = 6, ntyp = 4
/
ATOMIC_SPECIES
Zn 65.41 Zn.upf
Er 167.26 Er.upf
Ga 69.72 Ga.upf
Ce 140.12 Ce.upf
CELL_PARAMETERS angstrom
4.4187 0.0000 0.0000
-2.2093 3.8267 0.0000
0.0000 0.0000 7.3681
ATOMIC_POSITIONS angstrom
Zn 0.0000 2.5511 5.3608
Zn 2.2093 1.2756 2.0074
Er 0.0000 0.0000 3.6841
Ga 2.2093 1.2756 5.4593
Ga 0.0000 2.5511 1.9088
Ce 0.0000 0.0000 0.0000